1.
Computed, not measured: a relaxed structure of BaNbNi2W at the PBE level of DFT.

magnetization: 0.00 μB per cell
energy of formation from the pure elements: 1.851 eV/atom
space group: P4/mmm

abc: 4.5755 4.5755 5.4284
angles: 90.00 90.00 90.00
Fractional coordinates of all 5 atoms:
Ba 0.0000 0.0000 0.0000
Nb 0.5000 0.5000 0.0000
Ni 0.0000 0.5000 0.5000
Ni 0.5000 0.0000 0.5000
W 0.0000 0.0000 0.5000

2.
Computed, not measured: a relaxed structure of Ba2YNbNi at the PBE level of DFT.

magnetization: 2.16 μB per cell
energy of formation from the pure elements: 1.500 eV/atom
space group: P4/mmm

abc: 6.5036 6.5036 4.9937
angles: 90.00 90.00 90.00
Fractional coordinates of all 5 atoms:
Ba 0.0000 0.5000 0.0000
Ba 0.5000 0.0000 0.0000
Y 0.0000 0.0000 0.0000
Nb 0.0000 0.0000 0.5000
Ni 0.5000 0.5000 0.5000

3.
Computed, not measured: a relaxed structure of Ba3NpNb2O9 at the PBE level of DFT.

magnetization: 4.22 μB per cell
space group: P-3m1
formation energy without anion corrections: -270.9 kJ per mole of atoms

abc: 6.0010 6.0010 7.3753
angles: 90.00 90.00 120.00
Fractional coordinates of all 15 atoms:
Ba 0.0000 0.0000 0.0000
Ba 0.3333 0.6667 0.6726
Ba 0.6667 0.3333 0.3274
Np 0.0000 0.0000 0.5000
Nb 0.3333 0.6667 0.1584
Nb 0.6667 0.3333 0.8416
O 0.0000 0.5000 0.0000
O 0.1724 0.3449 0.3228
O 0.1724 0.8276 0.3228
O 0.3449 0.1724 0.6772
O 0.5000 0.0000 0.0000
O 0.5000 0.5000 0.0000
O 0.6551 0.8276 0.3228
O 0.8276 0.1724 0.6772
O 0.8276 0.6551 0.6772

4.
Computed, not measured: a relaxed structure of BaNpNbO6 at the PBE level of DFT.

magnetization: 4.00 μB per cell
space group: P-31c
formation energy without anion corrections: -276.0 kJ per mole of atoms

abc: 5.6458 5.6458 11.3252
angles: 90.00 90.00 120.00
Fractional coordinates of all 18 atoms:
Ba 0.0000 0.0000 0.0000
Ba 0.0000 0.0000 0.5000
Np 0.3333 0.6667 0.2500
Np 0.6667 0.3333 0.7500
Nb 0.3333 0.6667 0.7500
Nb 0.6667 0.3333 0.2500
O 0.0140 0.3887 0.6515
O 0.0140 0.6253 0.8485
O 0.3747 0.3887 0.8485
O 0.3747 0.9860 0.6515
O 0.3887 0.0140 0.1515
O 0.3887 0.3747 0.3485
O 0.6113 0.6253 0.6515
O 0.6113 0.9860 0.8485
O 0.6253 0.0140 0.3485
O 0.6253 0.6113 0.1515
O 0.9860 0.3747 0.1515
O 0.9860 0.6113 0.3485

5.
Computed, not measured: a relaxed structure of Ba2NpNbO6 at the PBE level of DFT.

magnetization: 3.53 μB per cell
space group: P4/mmm
formation energy without anion corrections: -272.4 kJ per mole of atoms

abc: 4.2894 4.2894 8.6302
angles: 90.00 90.00 90.00
Fractional coordinates of all 10 atoms:
Ba 0.0000 0.0000 0.2313
Ba 0.0000 0.0000 0.7687
Np 0.5000 0.5000 0.5000
Nb 0.5000 0.5000 0.0000
O 0.0000 0.5000 0.0000
O 0.0000 0.5000 0.5000
O 0.5000 0.0000 0.0000
O 0.5000 0.0000 0.5000
O 0.5000 0.5000 0.2375
O 0.5000 0.5000 0.7625

6.
Computed, not measured: a relaxed structure of BaNp2NbO8 at the PBE level of DFT.

magnetization: 5.00 μB per cell
space group: P2/m
formation energy without anion corrections: -266.2 kJ per mole of atoms

abc: 5.1432 7.0941 5.1541
angles: 90.00 92.36 90.00
Fractional coordinates of all 12 atoms:
Ba 0.0000 0.0000 0.0000
Np 0.5000 0.2594 0.5000
Np 0.5000 0.7406 0.5000
Nb 0.0000 0.5000 0.0000
O 0.2035 0.3023 0.2004
O 0.2035 0.6977 0.2004
O 0.2867 0.5000 0.7108
O 0.3364 0.0000 0.6579
O 0.6636 0.0000 0.3421
O 0.7133 0.5000 0.2892
O 0.7965 0.3023 0.7996
O 0.7965 0.6977 0.7996

What did the third record say?
Computed, not measured: a relaxed structure of Ba3NpNb2O9 at the PBE level of DFT.

magnetization: 4.22 μB per cell
space group: P-3m1
formation energy without anion corrections: -270.9 kJ per mole of atoms

abc: 6.0010 6.0010 7.3753
angles: 90.00 90.00 120.00
Fractional coordinates of all 15 atoms:
Ba 0.0000 0.0000 0.0000
Ba 0.3333 0.6667 0.6726
Ba 0.6667 0.3333 0.3274
Np 0.0000 0.0000 0.5000
Nb 0.3333 0.6667 0.1584
Nb 0.6667 0.3333 0.8416
O 0.0000 0.5000 0.0000
O 0.1724 0.3449 0.3228
O 0.1724 0.8276 0.3228
O 0.3449 0.1724 0.6772
O 0.5000 0.0000 0.0000
O 0.5000 0.5000 0.0000
O 0.6551 0.8276 0.3228
O 0.8276 0.1724 0.6772
O 0.8276 0.6551 0.6772